(1)
Crystalline Hf2Ga2Rh at its relaxed geometry. Source: Alexandria via LeMat-Bulk, functional PBE.

The structure in CIF format:
```
data_Hf2Ga2Rh
_chemical_formula_sum 'Hf4 Ga4 Rh2'
_space_group_name_H-M_alt 'P 1'
_space_group_IT_number 1
_space_group_name_Hall 'P 1'
_cell_length_a 6.591
_cell_length_b 6.591
_cell_length_c 4.016
_cell_angle_alpha 90.00
_cell_angle_beta 90.00
_cell_angle_gamma 90.00
loop_
_atom_site_label
_atom_site_fract_x
_atom_site_fract_y
_atom_site_fract_z
Hf1 0.172 0.328 0.000
Hf2 0.328 0.828 0.000
Hf3 0.672 0.172 0.000
Hf4 0.828 0.672 0.000
Ga1 0.134 0.634 0.500
Ga2 0.366 0.134 0.500
Ga3 0.634 0.866 0.500
Ga4 0.866 0.366 0.500
Rh1 0.000 0.000 0.500
Rh2 0.500 0.500 0.500
```

Values from the calculation:
Mass density, kg/m³: 11409
Calculated formation energy, meV per atom: -669
Distance to the lowest polymorph of the same formula, eV per atom: 0.000
Symmetry: P4/mbm

(2)
Crystalline SnBi2PtS at its relaxed geometry. Source: Alexandria via LeMat-Bulk, functional PBE.

The structure in CIF format:
```
data_SnBi2PtS
_chemical_formula_sum 'Sn1 Bi2 Pt1 S1'
_space_group_name_H-M_alt 'P 1'
_space_group_IT_number 1
_space_group_name_Hall 'P 1'
_cell_length_a 5.788
_cell_length_b 5.788
_cell_length_c 4.898
_cell_angle_alpha 90.00
_cell_angle_beta 90.00
_cell_angle_gamma 90.00
loop_
_atom_site_label
_atom_site_fract_x
_atom_site_fract_y
_atom_site_fract_z
Sn1 0.000 0.000 0.000
Bi1 0.000 0.500 0.000
Bi2 0.500 0.000 0.000
Pt1 0.000 0.000 0.500
S1 0.500 0.500 0.500
```

Values from the calculation:
Mass density, kg/m³: 7729
Energy relative to the elements, uncorrected, eV per atom: 0.85
Symmetry: P4/mmm